#A
DFT (PBE) results for crystalline TmInIrRh at its relaxed geometry.

Summary:
The symmetry is F-43m, No. 216. As for the total magnetization: 0.000 μB/f.u. Its density of states at the Fermi level is 4.13 states/eV per cell. As for the volume: 288.3 Å³/cell.

```
16
Lattice="6.6061 0.0000 0.0000 0.0000 6.6061 0.0000 0.0000 0.0000 6.6061" Properties=species:S:1:pos:R:3 pbc="T T T"
Tm 0.0000 0.0000 0.0000
Tm 0.0000 3.3031 3.3031
Tm 3.3031 0.0000 3.3031
Tm 3.3031 3.3031 0.0000
In 0.0000 0.0000 3.3031
In 0.0000 3.3031 0.0000
In 3.3031 0.0000 0.0000
In 3.3031 3.3031 3.3031
Ir 1.6515 1.6515 4.9546
Ir 1.6515 4.9546 1.6515
Ir 4.9546 1.6515 1.6515
Ir 4.9546 4.9546 4.9546
Rh 1.6515 1.6515 1.6515
Rh 1.6515 4.9546 4.9546
Rh 4.9546 1.6515 4.9546
Rh 4.9546 4.9546 1.6515
```

***

#B
DFT (PBE) results for crystalline TmInIrRh at its relaxed geometry.

Summary:
The symmetry is Pmmm, No. 47. As for the total magnetization: 0.000 μB/f.u. Its density of states at the Fermi level is 0.96 states/eV per cell. As for the volume: 71.7 Å³/cell.

```
4
Lattice="3.5633 0.0000 0.0000 0.0000 4.4773 0.0000 0.0000 0.0000 4.4929" Properties=species:S:1:pos:R:3 pbc="T T T"
Tm 0.0000 0.0000 0.0000
In 0.0000 2.2386 2.2464
Ir 1.7817 2.2386 0.0000
Rh 1.7817 0.0000 2.2464
```

***

Most stable: #B (next structure +1.5 kJ/mol of atoms)

***

#A
DFT (PBE) results for crystalline InIrS at its relaxed geometry.

Summary:
The symmetry is Pmn2_1, No. 31. As for the total magnetization: 0.000 μB/f.u. Its density of states at the Fermi level is 0.02 states/eV per cell. As for the volume: 338.9 Å³/cell.

```
18
Lattice="9.0524 0.0000 0.0000 0.0000 6.5028 0.0000 0.0000 0.0000 5.7566" Properties=species:S:1:pos:R:3 pbc="T T T"
In 0.0000 0.6232 0.0000
In 1.4898 3.8577 4.7003
In 3.0364 2.6451 1.8220
In 4.5262 5.8796 2.8783
In 6.0160 2.6451 1.8220
In 7.5626 3.8577 4.7003
Ir 0.0000 4.8080 1.1593
Ir 1.5091 1.4434 3.6374
Ir 3.0171 5.0594 0.7591
Ir 4.5262 1.6948 4.0376
Ir 6.0353 5.0594 0.7591
Ir 7.5433 1.4434 3.6374
S 0.0000 2.3063 2.0311
S 1.6137 5.6553 2.6182
S 2.9125 0.8476 5.4964
S 4.5262 4.1965 4.9094
S 6.1399 0.8476 5.4964
S 7.4387 5.6553 2.6182
```

***

#B
DFT (PBE) results for crystalline InIrS at its relaxed geometry.

Summary:
The symmetry is Pc, No. 7. As for the total magnetization: 0.000 μB/f.u. Its density of states at the Fermi level is 2.32 states/eV per cell. As for the volume: 111.3 Å³/cell.

```
6
Lattice="2.9634 0.0000 0.0000 0.0000 6.0799 0.0000 -0.0088 0.0000 6.1792" Properties=species:S:1:pos:R:3 pbc="T T T"
In 0.0000 0.5717 0.0000
In -0.0044 5.5082 3.0896
Ir 1.4795 1.6444 2.1071
Ir 1.4751 4.4354 5.1967
S 1.4793 2.3367 4.3088
S 1.4837 3.7431 1.2193
```

***

Most stable: #A (next structure +19.8 kJ/mol of atoms)

***

#A
DFT (PBE) results for crystalline InIr3S at its relaxed geometry.

Summary:
The symmetry is Pm-3m, No. 221. As for the total magnetization: 3.927 μB/f.u. Its density of states at the Fermi level is 9.23 states/eV per cell. As for the volume: 118.6 Å³/cell.

```
5
Lattice="4.9127 0.0000 0.0000 0.0000 4.9127 0.0000 0.0000 0.0000 4.9127" Properties=species:S:1:pos:R:3 pbc="T T T"
In 0.0000 0.0000 0.0000
Ir 0.0000 0.0000 2.4563
Ir 0.0000 2.4563 0.0000
Ir 2.4563 0.0000 0.0000
S 2.4563 2.4563 2.4563
```

***

#B
DFT (PBE) results for crystalline InIr3S at its relaxed geometry.

Summary:
The symmetry is Pm-3m, No. 221. As for the total magnetization: 0.000 μB/f.u. Its density of states at the Fermi level is 6.10 states/eV per cell. As for the volume: 88.5 Å³/cell.

```
5
Lattice="4.4561 0.0000 0.0000 0.0000 4.4561 0.0000 0.0000 0.0000 4.4561" Properties=species:S:1:pos:R:3 pbc="T T T"
In 0.0000 0.0000 0.0000
Ir 0.0000 2.2280 2.2280
Ir 2.2280 0.0000 2.2280
Ir 2.2280 2.2280 0.0000
S 2.2280 2.2280 2.2280
```

***

Most stable: #B (next structure +171.0 kJ/mol of atoms)

***

#A
DFT (PBE) results for crystalline InSbIr2 at its relaxed geometry.

Summary:
The symmetry is C2/m, No. 12. As for the total magnetization: 0.000 μB/f.u. Its density of states at the Fermi level is 5.57 states/eV per cell. As for the volume: 146.3 Å³/cell.

```
8
Lattice="8.5344 0.0000 0.0000 0.0000 3.2108 0.0000 -1.1278 0.0000 5.3386" Properties=species:S:1:pos:R:3 pbc="T T T"
In 0.0000 0.0000 0.0000
In 4.2672 1.6054 0.0000
Sb -0.5639 1.6054 2.6693
Sb 3.7033 0.0000 2.6693
Ir 1.2989 0.0000 3.9395
Ir 1.8404 1.6054 1.3990
Ir 6.1076 0.0000 1.3990
Ir 5.5661 1.6054 3.9395
```

***

#B
DFT (PBE) results for crystalline InSbIr2 at its relaxed geometry.

Summary:
The symmetry is Cm, No. 8. As for the total magnetization: 0.000 μB/f.u. Its density of states at the Fermi level is 2.40 states/eV per cell. As for the volume: 145.4 Å³/cell.

```
8
Lattice="9.6789 0.0000 0.0000 0.0000 3.4401 0.0000 -0.9579 0.0000 4.3673" Properties=species:S:1:pos:R:3 pbc="T T T"
In 0.0000 0.0000 0.0000
In 4.8395 1.7200 0.0000
Sb 2.0736 1.7200 1.7317
Sb 6.9130 0.0000 1.7317
Ir 1.7098 0.0000 3.9664
Ir 4.2020 0.0000 2.1474
Ir 6.5493 1.7200 3.9664
Ir 9.0415 1.7200 2.1474
```

***

Most stable: #B (next structure +9.3 kJ/mol of atoms)

***

#A
DFT (PBE) results for crystalline InSb2Ir2 at its relaxed geometry.

Summary:
The symmetry is P4/mbm, No. 127. As for the total magnetization: 0.000 μB/f.u. Its density of states at the Fermi level is 10.41 states/eV per cell. As for the volume: 202.3 Å³/cell.

```
10
Lattice="7.9701 0.0000 0.0000 0.0000 7.9701 0.0000 0.0000 0.0000 3.1841" Properties=species:S:1:pos:R:3 pbc="T T T"
In 0.0000 0.0000 0.0000
In 3.9851 3.9851 0.0000
Sb 1.2265 2.7586 1.5920
Sb 2.7586 6.7437 1.5920
Sb 5.2115 1.2265 1.5920
Sb 6.7437 5.2115 1.5920
Ir 1.0672 5.0523 0.0000
Ir 2.9178 1.0672 0.0000
Ir 5.0523 6.9029 0.0000
Ir 6.9029 2.9178 0.0000
```

***

#B
DFT (PBE) results for crystalline InSb2Ir2 at its relaxed geometry.

Summary:
The symmetry is I4/mmm, No. 139. As for the total magnetization: 0.000 μB/f.u. Its density of states at the Fermi level is 7.52 states/eV per cell. As for the volume: 228.0 Å³/cell.

```
10
Lattice="4.6982 0.0000 0.0000 0.0000 4.6982 0.0000 0.0000 0.0000 10.3308" Properties=species:S:1:pos:R:3 pbc="T T T"
In 0.0000 0.0000 0.0000
In 2.3491 2.3491 5.1654
Sb 0.0000 2.3491 2.5827
Sb 0.0000 2.3491 7.7481
Sb 2.3491 0.0000 2.5827
Sb 2.3491 0.0000 7.7481
Ir 0.0000 0.0000 3.8610
Ir 0.0000 0.0000 6.4697
Ir 2.3491 2.3491 1.3043
Ir 2.3491 2.3491 9.0264
```

***

Most stable: #A (next structure +3.3 kJ/mol of atoms)

***

#A
DFT (PBE) results for crystalline ScIn2Ir2 at its relaxed geometry.

Summary:
The symmetry is P4/mbm, No. 127. As for the total magnetization: 0.000 μB/f.u. Its density of states at the Fermi level is 4.61 states/eV per cell. As for the volume: 192.4 Å³/cell.

```
10
Lattice="6.9847 0.0000 0.0000 0.0000 6.9847 0.0000 0.0000 0.0000 3.9448" Properties=species:S:1:pos:R:3 pbc="T T T"
Sc 0.0000 0.0000 0.0000
Sc 3.4923 3.4923 0.0000
In 1.1459 2.3464 1.9724
In 2.3464 5.8388 1.9724
In 4.6382 1.1459 1.9724
In 5.8388 4.6382 1.9724
Ir 0.9501 4.4425 0.0000
Ir 2.5422 0.9501 0.0000
Ir 4.4425 6.0346 0.0000
Ir 6.0346 2.5422 0.0000
```

***

#B
DFT (PBE) results for crystalline ScIn2Ir2 at its relaxed geometry.

Summary:
The symmetry is I4/mmm, No. 139. As for the total magnetization: 0.000 μB/f.u. Its density of states at the Fermi level is 4.45 states/eV per cell. As for the volume: 202.3 Å³/cell.

```
10
Lattice="3.9880 0.0000 0.0000 0.0000 3.9880 0.0000 0.0000 0.0000 12.7209" Properties=species:S:1:pos:R:3 pbc="T T T"
Sc 0.0000 0.0000 0.0000
Sc 1.9940 1.9940 6.3604
In 0.0000 1.9940 3.1802
In 0.0000 1.9940 9.5407
In 1.9940 0.0000 3.1802
In 1.9940 0.0000 9.5407
Ir 0.0000 0.0000 5.1152
Ir 0.0000 0.0000 7.6057
Ir 1.9940 1.9940 1.2453
Ir 1.9940 1.9940 11.4756
```

***

Most stable: #A (next structure +16.0 kJ/mol of atoms)

***

#A
DFT (PBE) results for crystalline Sc6In2Ir at its relaxed geometry.

Summary:
The symmetry is P-62m, No. 189. As for the total magnetization: 0.004 μB/f.u. Its density of states at the Fermi level is 9.51 states/eV per cell. As for the volume: 204.7 Å³/cell.

```
9
Lattice="8.0802 0.0000 0.0000 -4.0401 6.9977 0.0000 0.0000 0.0000 3.6204" Properties=species:S:1:pos:R:3 pbc="T T T"
Sc -1.5412 2.6694 0.0000
Sc -3.0442 5.2727 1.8102
Sc 0.9959 1.7249 1.8102
Sc 3.0823 0.0000 0.0000
Sc 2.4990 4.3283 0.0000
Sc 6.0884 0.0000 1.8102
In 0.0000 4.6651 1.8102
In 4.0401 2.3326 1.8102
Ir 0.0000 0.0000 0.0000
```

***

#B
DFT (PBE) results for crystalline Sc6In2Ir at its relaxed geometry.

Summary:
The symmetry is Immm, No. 71. As for the total magnetization: 0.000 μB/f.u. Its density of states at the Fermi level is 7.78 states/eV per cell. As for the volume: 228.7 Å³/cell.

```
9
Lattice="-2.3767 3.4153 7.0439 2.3767 -3.4153 7.0439 2.3767 3.4153 -7.0439" Properties=species:S:1:pos:R:3 pbc="T T T"
Sc 2.3767 1.6162 -2.1688
Sc 0.0000 1.5256 0.0000
Sc 2.3767 1.6162 2.1688
Sc 0.0000 1.7992 4.8750
Sc 0.0000 5.3051 0.0000
Sc 0.0000 1.7992 9.2127
In 2.3767 0.0000 4.6933
In 0.0000 3.4153 2.3505
Ir 2.3767 0.0000 0.0000
```

***

Most stable: #A (next structure +21.1 kJ/mol of atoms)

***

#A
DFT (PBE) results for crystalline TmScInIr at its relaxed geometry.

Summary:
The symmetry is P4mm, No. 99. As for the total magnetization: 0.000 μB/f.u. Its density of states at the Fermi level is 2.51 states/eV per cell. As for the volume: 84.9 Å³/cell.

```
4
Lattice="3.2209 0.0000 0.0000 0.0000 3.2209 0.0000 0.0000 0.0000 8.1880" Properties=species:S:1:pos:R:3 pbc="T T T"
Tm 0.0000 0.0000 0.0000
Sc 0.0000 0.0000 4.7685
In 1.6105 1.6105 2.4730
Ir 1.6105 1.6105 6.3680
```

***

#B
DFT (PBE) results for crystalline TmScInIr at its relaxed geometry.

Summary:
The symmetry is F-43m, No. 216. As for the total magnetization: 0.000 μB/f.u. Its density of states at the Fermi level is 9.32 states/eV per cell. As for the volume: 332.6 Å³/cell.

```
16
Lattice="6.9288 0.0000 0.0000 0.0000 6.9288 0.0000 0.0000 0.0000 6.9288" Properties=species:S:1:pos:R:3 pbc="T T T"
Tm 0.0000 0.0000 0.0000
Tm 0.0000 3.4644 3.4644
Tm 3.4644 0.0000 3.4644
Tm 3.4644 3.4644 0.0000
Sc 0.0000 0.0000 3.4644
Sc 0.0000 3.4644 0.0000
Sc 3.4644 0.0000 0.0000
Sc 3.4644 3.4644 3.4644
In 1.7322 1.7322 5.1966
In 1.7322 5.1966 1.7322
In 5.1966 1.7322 1.7322
In 5.1966 5.1966 5.1966
Ir 1.7322 1.7322 1.7322
Ir 1.7322 5.1966 5.1966
Ir 5.1966 1.7322 5.1966
Ir 5.1966 5.1966 1.7322
```

***

Most stable: #A (next structure +11.4 kJ/mol of atoms)

***

#A
DFT (PBE) results for crystalline InIrSe3 at its relaxed geometry.

Summary:
The symmetry is P1, No. 1. As for the total magnetization: 0.000 μB/f.u. Its density of states at the Fermi level is 1.98 states/eV per cell. As for the volume: 231.3 Å³/cell.

```
10
Lattice="6.3039 0.0000 0.0000 -1.7468 6.2201 0.0000 -1.9324 -2.4136 5.8992" Properties=species:S:1:pos:R:3 pbc="T T T"
In 0.0000 0.0000 0.0000
In -1.7931 1.3822 4.3344
Ir 0.8434 4.2902 2.6980
Ir 2.1493 1.2052 5.6552
Se -1.4122 3.4489 2.0510
Se 1.7226 3.2955 0.5752
Se 2.1421 0.2994 1.7761
Se 1.0421 1.8180 3.5809
Se 2.0091 -1.3000 5.1144
Se 4.8772 -1.2801 3.3923
```

***

#B
DFT (PBE) results for crystalline InIrSe3 at its relaxed geometry.

Summary:
The symmetry is Pm-3m, No. 221. As for the total magnetization: 0.000 μB/f.u. Its density of states at the Fermi level is 7.81 states/eV per cell. As for the volume: 123.5 Å³/cell.

```
5
Lattice="4.9806 0.0000 0.0000 0.0000 4.9806 0.0000 0.0000 0.0000 4.9806" Properties=species:S:1:pos:R:3 pbc="T T T"
In 0.0000 0.0000 0.0000
Ir 2.4903 2.4903 2.4903
Se 0.0000 2.4903 2.4903
Se 2.4903 0.0000 2.4903
Se 2.4903 2.4903 0.0000
```

***

#C
DFT (PBE) results for crystalline InIrSe3 at its relaxed geometry.

Summary:
The symmetry is R32, No. 155. As for the total magnetization: 0.000 μB/f.u. As for the volume: 229.2 Å³/cell.

```
10
Lattice="3.3695 1.9454 5.8287 -3.3695 1.9454 5.8287 0.0000 -3.8907 5.8287" Properties=species:S:1:pos:R:3 pbc="T T T"
In 0.0000 0.0000 1.7661
In 0.0000 0.0000 15.7199
Ir 0.0000 0.0000 7.0010
Ir 0.0000 0.0000 10.4850
Se -2.2617 0.0267 5.8287
Se -0.9079 -1.5726 8.7430
Se 1.1078 -1.9720 5.8287
Se -0.9079 1.5726 8.7430
Se 1.1539 1.9454 5.8287
Se 1.8159 0.0000 8.7430
```

***

#D
DFT (PBE) results for crystalline InIrSe3 at its relaxed geometry.

Summary:
The symmetry is R3, No. 146. As for the total magnetization: 0.000 μB/f.u. Its density of states at the Fermi level is 3.47 states/eV per cell. As for the volume: 253.1 Å³/cell.

```
10
Lattice="3.3294 1.9222 6.5904 -3.3294 1.9222 6.5904 0.0000 -3.8444 6.5904" Properties=species:S:1:pos:R:3 pbc="T T T"
In 0.0000 0.0000 0.0000
In 0.0000 0.0000 3.3919
Ir 0.0000 0.0000 7.0278
Ir 0.0000 0.0000 13.4644
Se -1.1966 -1.8630 8.2361
Se -2.1236 0.3019 12.1396
Se -1.0151 1.9678 8.2361
Se 0.8004 -1.9901 12.1396
Se 2.2117 -0.1048 8.2361
Se 1.3233 1.6882 12.1396
```

***

Most stable: #D (next structure +1.3 kJ/mol of atoms)

***

#A
DFT (PBE) results for crystalline InIrSe3 at its relaxed geometry.

Summary:
The symmetry is Cm, No. 8. As for the total magnetization: 0.000 μB/f.u. Its density of states at the Fermi level is 5.47 states/eV per cell. As for the volume: 239.2 Å³/cell.

```
10
Lattice="12.8243 0.0000 0.0000 0.0000 3.7701 0.0000 -1.6401 0.0000 4.9468" Properties=species:S:1:pos:R:3 pbc="T T T"
In 0.0000 0.0000 0.0000
In 6.4122 1.8850 0.0000
Ir 1.5295 1.8850 3.1890
Ir 7.9417 0.0000 3.1890
Se -0.0010 0.0000 2.7150
Se 1.9962 1.8850 0.5890
Se 3.2464 0.0000 3.4056
Se 6.4112 1.8850 2.7150
Se 8.4084 0.0000 0.5890
Se 9.6586 1.8850 3.4056
```

***

#B
DFT (PBE) results for crystalline InIrSe3 at its relaxed geometry.

Summary:
The symmetry is Cm, No. 8. As for the total magnetization: 0.000 μB/f.u. As for the volume: 230.6 Å³/cell.

```
10
Lattice="12.6400 0.0000 0.0000 0.0000 3.8561 0.0000 -1.4035 0.0000 4.7305" Properties=species:S:1:pos:R:3 pbc="T T T"
In 0.0000 0.0000 0.0000
In 6.3200 1.9281 0.0000
Ir 2.6560 1.9281 3.1655
Ir 8.9760 0.0000 3.1655
Se 0.4684 1.9281 1.8635
Se 1.5366 0.0000 4.3251
Se 3.7029 0.0000 1.9873
Se 6.7884 0.0000 1.8635
Se 7.8567 1.9281 4.3251
Se 10.0229 1.9281 1.9873
```

***

Most stable: #B (next structure +7.8 kJ/mol of atoms)